Density functional theory data (PBE+U) for crystalline Rb2WAuF6 at its relaxed geometry.

**Energy**: -4.579 eV per atom
**Space-group type**: I4/mmm, No. 139

Cell lengths 6.828, 6.828, 6.862 Å; angles 60.16, 60.16, 90.00 degrees
Each line ends with the local moment (μB).
Fractional coordinates of all 10 atoms:
Rb1 0.750 0.250 0.500  0.01
Rb2 0.250 0.750 0.500  0.01
F1 0.293 0.707 0.000  0.03
F2 0.293 0.293 0.000  0.03
F3 0.707 0.707 0.000  0.03
F4 0.711 0.711 0.577  0.05
F5 0.289 0.289 0.423  0.05
F6 0.707 0.293 0.000  0.03
Au1 0.000 0.000 0.000  0.41
W1 0.500 0.500 0.000  1.95